i.
The following is a DFT calculation (GGA-PBE) of a relaxed CaBeIn3 crystal.

Computed properties:
M_tot, μB per cell: 0.00
Density of states at the Fermi level, states/eV/f.u.: 1.58

```
CaBeIn3
1.0
5.0143 0.0000 0.0000
0.0000 5.0143 0.0000
0.0000 0.0000 5.0143
Ca Be In
1 1 3
Direct
0.0000 0.0000 0.0000
0.5000 0.5000 0.5000
0.0000 0.5000 0.5000
0.5000 0.0000 0.5000
0.5000 0.5000 0.0000
```

***

ii.
The following is a DFT calculation (GGA-PBE) of a relaxed CaBeIn3 crystal.

Computed properties:
M_tot, μB per cell: 0.00
Density of states at the Fermi level, states/eV/f.u.: 5.96

```
CaBeIn3
1.0
5.9755 0.0000 0.0000
0.0000 5.9755 0.0000
0.0000 0.0000 5.9755
Ca Be In
1 1 3
Direct
0.0000 0.0000 0.0000
0.5000 0.5000 0.5000
0.0000 0.0000 0.5000
0.0000 0.5000 0.0000
0.5000 0.0000 0.0000
```

***

i is preferred energetically. Next in line: 1087 meV per atom higher.

***

i.
The following is a DFT calculation (GGA-PBE) of a relaxed NaCa2BeIn crystal.

Computed properties:
M_tot, μB per cell: 0.00
Density of states at the Fermi level, states/eV/f.u.: 3.90

```
NaCa2BeIn
1.0
5.7455 0.0000 0.0000
0.0000 5.7455 0.0000
0.0000 0.0000 5.1716
Na Ca Be In
1 2 1 1
Direct
0.0000 0.0000 0.0000
0.0000 0.5000 0.0000
0.5000 0.0000 0.0000
0.5000 0.5000 0.5000
0.0000 0.0000 0.5000
```

***

ii.
The following is a DFT calculation (GGA-PBE) of a relaxed NaCa2BeIn crystal.

Computed properties:
M_tot, μB per cell: 0.00
Density of states at the Fermi level, states/eV/f.u.: 2.90

```
NaCa2BeIn
1.0
5.7780 0.0000 0.0000
0.0000 5.7780 0.0000
0.0000 0.0000 4.6026
Na Ca Be In
1 2 1 1
Direct
0.0000 0.0000 0.0000
0.0000 0.5000 0.0000
0.5000 0.0000 0.0000
0.0000 0.0000 0.5000
0.5000 0.5000 0.5000
```

***

ii is preferred energetically. Next in line: 212 meV per atom higher.

***

i.
The following is a DFT calculation (GGA-PBE) of a relaxed CaBeIr crystal.

Computed properties:
M_tot, μB per cell: 0.00
Density of states at the Fermi level, states/eV/f.u.: 0.80

```
CaBeIr
1.0
3.8609 0.0000 0.0000
-1.9305 3.3436 0.0000
0.0000 0.0000 4.2512
Ca Be Ir
1 1 1
Direct
0.0000 0.0000 0.0000
0.6667 0.3333 0.5000
0.3333 0.6667 0.5000
```

***

ii.
The following is a DFT calculation (GGA-PBE) of a relaxed CaBeIr crystal.

Computed properties:
M_tot, μB per cell: 0.00
Density of states at the Fermi level, states/eV/f.u.: 1.84

```
CaBeIr
1.0
6.3195 0.0000 0.0000
0.0000 6.3195 0.0000
0.0000 0.0000 6.3195
Ca Be Ir
4 4 4
Direct
0.0000 0.0000 0.0000
0.0000 0.5000 0.5000
0.5000 0.0000 0.5000
0.5000 0.5000 0.0000
0.2500 0.2500 0.7500
0.2500 0.7500 0.2500
0.7500 0.2500 0.2500
0.7500 0.7500 0.7500
0.2500 0.2500 0.2500
0.2500 0.7500 0.7500
0.7500 0.2500 0.7500
0.7500 0.7500 0.2500
```

***

i is preferred energetically. Next in line: 1426 meV per atom higher.

***

i.
The following is a DFT calculation (GGA-PBE) of a relaxed CaBeIr crystal.

Computed properties:
M_tot, μB per cell: 0.00
Density of states at the Fermi level, states/eV/f.u.: 1.64

```
CaBeIr
1.0
3.1309 0.0000 0.0000
0.0000 3.1309 0.0000
0.0000 0.0000 10.2876
Ca Be Ir
2 2 2
Direct
0.0000 0.0000 0.0000
0.5000 0.5000 0.5000
0.0000 0.0000 0.2736
0.5000 0.5000 0.7736
0.0000 0.0000 0.7097
0.5000 0.5000 0.2097
```

***

ii.
The following is a DFT calculation (GGA-PBE) of a relaxed CaBeIr crystal.

Computed properties:
M_tot, μB per cell: 0.00
Density of states at the Fermi level, states/eV/f.u.: 2.30

```
CaBeIr
1.0
5.9566 0.0000 0.0000
0.0000 5.9566 0.0000
0.0000 0.0000 5.9566
Ca Be Ir
4 4 4
Direct
0.0000 0.0000 0.0000
0.0000 0.5000 0.5000
0.5000 0.0000 0.5000
0.5000 0.5000 0.0000
0.2500 0.2500 0.7500
0.2500 0.7500 0.2500
0.7500 0.2500 0.2500
0.7500 0.7500 0.7500
0.0000 0.0000 0.5000
0.0000 0.5000 0.0000
0.5000 0.0000 0.0000
0.5000 0.5000 0.5000
```

***

i is preferred energetically. Next in line: 419 meV per atom higher.